(1)
{
  "formula": "GaRePS2",
  "functional": "SCAN",
  "state": "single point on PBEsol structure",
  "energy_ev_per_atom": -23.000,
  "e_form_raw_mev_per_atom": 419,
  "vol_a3_per_cell": 99.2,
  "cell": [[-3.170, 3.079, 1.479], [-3.034, -1.654, -3.058], [-1.496, -3.043, 3.130]],
  "species": ["P", "S", "Ga", "S", "Re"],
  "fractional_positions": [[0.500, 0.000, 0.000], [0.000, 0.500, 0.000], [0.500, 0.500, 0.500], [0.000, 0.000, 0.500], [0.000, 0.000, 0.000]]
}

***

(2)
{
  "formula": "MgAsOsBr2",
  "functional": "SCAN",
  "state": "single point on PBEsol structure",
  "energy_ev_per_atom": -26.235,
  "e_form_raw_mev_per_atom": 958,
  "vol_a3_per_cell": 125.8,
  "cell": [[4.805, 0.000, 0.000], [0.000, 4.805, 0.000], [0.000, 0.000, 5.447]],
  "species": ["Os", "Br", "As", "Mg", "Br"],
  "fractional_positions": [[0.500, 0.500, 0.500], [0.000, 0.500, 0.000], [0.000, 0.000, 0.500], [0.000, 0.000, 0.000], [0.500, 0.000, 0.000]]
}

***

(3)
{
  "formula": "Y2HgRh",
  "functional": "SCAN",
  "state": "single point on PBEsol structure",
  "e_form_ev_per_atom": -0.795,
  "energy_ev_per_atom": -40.201,
  "vol_a3_per_cell": 87.2,
  "cell": [[3.562, 0.000, 0.000], [0.000, 4.948, 0.000], [0.000, 0.000, 4.948]],
  "species": ["Hg", "Y", "Rh", "Y"],
  "fractional_positions": [[0.500, 0.500, 0.500], [0.000, 0.500, 0.000], [0.500, 0.000, 0.000], [0.000, 0.000, 0.500]]
}

***

(4)
{
  "formula": "RbBeBr2Cl",
  "functional": "SCAN",
  "state": "single point on PBEsol structure",
  "energy_ev_per_atom": -15.706,
  "e_form_raw_mev_per_atom": -1308,
  "vol_a3_per_cell": 115.9,
  "cell": [[-1.254, 2.658, 3.444], [-4.842, -0.500, -1.377], [-0.428, -4.065, 2.981]],
  "species": ["Br", "Rb", "Br", "Be", "Cl"],
  "fractional_positions": [[0.000, 0.000, 0.500], [0.500, 0.500, 0.500], [0.000, 0.500, 0.000], [0.000, 0.000, 0.000], [0.500, 0.000, 0.000]]
}

***

(5)
{
  "formula": "HfSbP2S",
  "functional": "SCAN",
  "state": "single point on PBEsol structure",
  "energy_ev_per_atom": -25.941,
  "e_form_raw_mev_per_atom": 131,
  "vol_a3_per_cell": 117.6,
  "cell": [[-1.858, -4.296, 0.735], [3.438, -2.000, -3.001], [3.031, -0.643, 3.902]],
  "species": ["S", "Sb", "P", "Hf", "P"],
  "fractional_positions": [[0.500, 0.000, 0.000], [0.500, 0.500, 0.500], [0.000, 0.500, 0.000], [0.000, 0.000, 0.000], [0.000, 0.000, 0.500]]
}

***

(6)
{
  "formula": "ZrAsIrSe2",
  "functional": "SCAN",
  "state": "single point on PBEsol structure",
  "energy_ev_per_atom": -32.137,
  "e_form_raw_mev_per_atom": 292,
  "vol_a3_per_cell": 109.3,
  "cell": [[4.626, 0.000, 0.000], [0.000, 4.861, 0.000], [0.000, 0.000, 4.861]],
  "species": ["Se", "As", "Se", "Zr", "Ir"],
  "fractional_positions": [[0.000, 0.000, 0.500], [0.500, 0.000, 0.000], [0.000, 0.500, 0.000], [0.500, 0.500, 0.500], [0.000, 0.000, 0.000]]
}

***

(7)
{
  "formula": "GaPN2",
  "functional": "SCAN",
  "state": "single point on PBEsol structure",
  "energy_ev_per_atom": -10.882,
  "polymorph_energy_mev_per_atom": 0,
  "e_form_raw_mev_per_atom": 450,
  "vol_a3_per_cell": 91.5,
  "cell": [[-2.193, 1.656, 3.256], [-2.530, -3.428, 0.040], [5.479, -1.377, 1.603]],
  "species": ["Ga", "N", "N", "P", "Ga", "N", "P", "N"],
  "fractional_positions": [[0.000, 0.000, 0.000], [0.393, 0.875, 0.250], [0.125, 0.143, 0.750], [0.500, 0.500, 0.000], [0.250, 0.750, 0.500], [0.857, 0.375, 0.250], [0.750, 0.250, 0.500], [0.625, 0.607, 0.750]]
}

***

(8)
{
  "formula": "MnMo2Ir",
  "functional": "SCAN",
  "state": "single point on PBEsol structure",
  "e_form_ev_per_atom": -0.059,
  "energy_ev_per_atom": -39.841,
  "polymorph_energy_mev_per_atom": 114,
  "vol_a3_per_cell": 55.7,
  "cell": [[3.800, 0.000, 0.000], [0.000, 3.800, 0.000], [-1.900, -1.900, 3.855]],
  "species": ["Mn", "Ir", "Mo", "Mo"],
  "fractional_positions": [[0.750, 0.250, 0.500], [0.000, 0.000, 0.000], [0.250, 0.750, 0.500], [0.500, 0.500, 0.000]]
}

***

(9)
{
  "formula": "KNiF3",
  "functional": "SCAN",
  "state": "single point on PBEsol structure",
  "energy_ev_per_atom": -9.672,
  "e_form_raw_mev_per_atom": -2648,
  "vol_a3_per_cell": 63.5,
  "cell": [[-1.214, 2.684, 2.690], [0.510, -2.684, 2.907], [3.766, 1.229, 0.474]],
  "species": ["F", "K", "Ni", "F", "F"],
  "fractional_positions": [[0.000, 0.000, 0.500], [0.500, 0.500, 0.500], [0.000, 0.000, 0.000], [0.500, 0.000, 0.000], [0.000, 0.500, 0.000]]
}

***

(10)
{
  "formula": "Sr2ZnTe",
  "functional": "SCAN",
  "state": "single point on PBEsol structure",
  "energy_ev_per_atom": -24.702,
  "polymorph_energy_mev_per_atom": 0,
  "e_form_raw_mev_per_atom": -872,
  "vol_a3_per_cell": 139.9,
  "cell": [[-3.943, 2.238, 0.009], [-3.864, -2.219, 0.841], [-1.763, 1.455, 7.960]],
  "species": ["Sr", "Sr", "Zn", "Te"],
  "fractional_positions": [[0.750, 0.750, 0.749], [0.250, 0.250, 0.251], [0.000, 0.000, 0.000], [0.500, 0.500, 0.500]]
}

***

(11)
{
  "formula": "TlCdS2",
  "functional": "SCAN",
  "state": "single point on PBEsol structure",
  "energy_ev_per_atom": -30.885,
  "polymorph_energy_mev_per_atom": 0,
  "e_form_raw_mev_per_atom": -378,
  "vol_a3_per_cell": 223.3,
  "cell": [[6.060, 0.000, 0.000], [0.000, 6.060, 0.000], [-3.030, -3.030, 6.082]],
  "species": ["S", "Cd", "S", "Tl", "Tl", "S", "S", "Cd"],
  "fractional_positions": [[0.849, 0.375, 0.250], [0.750, 0.250, 0.500], [0.625, 0.599, 0.750], [0.000, 0.000, 0.000], [0.250, 0.750, 0.500], [0.125, 0.151, 0.750], [0.401, 0.875, 0.250], [0.500, 0.500, 0.000]]
}

***

(12)
{
  "formula": "CoBiF2",
  "functional": "SCAN",
  "state": "single point on PBEsol structure",
  "energy_ev_per_atom": -26.821,
  "polymorph_energy_mev_per_atom": 319,
  "e_form_raw_mev_per_atom": -1080,
  "vol_a3_per_cell": 67.0,
  "cell": [[3.138, 0.000, 0.000], [1.569, 2.717, 0.000], [1.569, 0.906, 7.857]],
  "species": ["F", "Co", "F", "Bi"],
  "fractional_positions": [[0.924, 0.924, 0.229], [0.000, 0.000, 0.000], [0.076, 0.076, 0.771], [0.500, 0.500, 0.500]]
}